# SiS

A geometry-optimized SiS structure (PBE-GGA, Alexandria).

Results
final energy: -4.40 eV per atom
SG: Pm-3n, No. 223
size of the total moment: 0.000 μB/atom

```
SiS
1.0
-5.8281 -4.0148 0.4823
3.2078 -5.1055 -3.7366
2.4620 -2.8520 6.0102
Si S
6 6
Cartesian
3.4504 -4.6917 2.6394 Si
-0.2260 -2.4297 3.1257 Si
2.2194 -3.2657 -0.3658 Si
-3.1401 -4.4371 3.3668 Si
-0.5082 -5.8365 -2.5613 Si
-2.1121 -3.2838 -0.6930 Si
2.0329 -2.7024 2.0710 S
3.6368 -5.2551 0.2026 S
-1.0676 -4.1464 4.7488 S
-2.2986 -2.7204 1.7437 S
0.1469 -3.5564 -1.7478 S
-2.7672 -5.5638 -1.5066 S
```